24
Lattice="-1.807 0.316 -3.672 -7.988 -0.250 3.910 0.051 5.879 0.481" Properties=species:S:1:pos:R:3 comment="Li2FeO2F PBE with a Hubbard U relaxed" relative_energy_ev_per_fu=0.31 dos_ef_per_ev_cell=0.0 dft_energy_ev_per_atom=-5.630 pbc="T T T"
F -7.821 3.542 3.007
F -5.026 0.691 1.386
F -4.718 5.254 -0.667
F -1.923 2.403 -2.288
Fe -3.608 2.278 0.825
Fe -6.136 3.667 -0.105
Fe -1.224 5.291 -0.089
Fe -8.520 0.653 0.808
O -5.030 3.524 1.632
O -7.819 0.498 2.744
O -1.925 5.447 -2.025
O -4.715 2.421 -0.913
O -2.375 3.738 0.344
O -2.483 0.796 0.144
O -7.261 5.148 0.575
O -7.369 2.206 0.375
Li -6.371 4.979 2.417
Li -6.452 2.038 2.204
Li -3.292 3.907 -1.485
Li -3.373 0.966 -1.698
Li -3.741 5.143 1.137
Li -1.092 2.287 -0.413
Li -8.652 3.657 1.132
Li -6.003 0.802 -0.418